(w)
A plane-wave DFT calculation with PBE-GGA was carried out for NaPb2I after structural relaxation.

Cell: 9.639 9.639 6.349 Å, 90.00 90.00 90.00°
Space group I-42d (No. 122)
Asymmetric unit:
Na1 0.000 0.000 0.000 x4
Pb1 0.233 0.750 0.625 x8
I1 0.000 0.000 0.500 x4

(x)
A plane-wave DFT calculation with PBE-GGA was carried out for NaPb2I after structural relaxation.

Cell: 8.072 8.072 8.072 Å, 90.00 90.00 90.00°
Space group Fm-3m (No. 225)
Asymmetric unit:
Na1 0.000 0.000 0.000 x4
Pb1 0.250 0.250 0.250 x8
I1 0.000 0.000 0.500 x4

Stability ranking, top entry: (w); the second entry is 11.4 kJ/mol of atoms less favorable.

(w)
A plane-wave DFT calculation with PBE-GGA was carried out for NaPbSI2 after structural relaxation.

Cell: 6.359 6.359 5.093 Å, 90.00 90.00 90.00°
Space group P4/mmm (No. 123)
Asymmetric unit:
Na1 0.000 0.000 0.000 x1
Pb1 0.500 0.500 0.500 x1
S1 0.500 0.500 0.000 x1
I1 0.000 0.500 0.500 x2

(x)
A plane-wave DFT calculation with PBE-GGA was carried out for NaPbSI2 after structural relaxation.

Cell: 5.777 5.777 5.119 Å, 90.00 90.00 90.00°
Space group P4/mmm (No. 123)
Asymmetric unit:
Na1 0.000 0.000 0.000 x1
Pb1 0.500 0.500 0.500 x1
S1 0.000 0.000 0.500 x1
I1 0.000 0.500 0.000 x2

Stability ranking, top entry: (w); the second entry is 31.5 kJ/mol of atoms less favorable.

(w)
A plane-wave DFT calculation with PBE-GGA was carried out for NaPbWI after structural relaxation.

Cell: 3.6345 3.6345 9.1321 Å, 90.00 90.00 120.00°
Space group P3m1 (No. 156)
Asymmetric unit:
Na1 0.0000 0.0000 0.0000 x1
Pb1 0.3333 0.6667 0.7320 x1
W1 0.6667 0.3333 0.5123 x1
I1 0.3333 0.6667 0.3145 x1

(x)
A plane-wave DFT calculation with PBE-GGA was carried out for NaPbWI after structural relaxation.

Cell: 14.664 4.088 3.520 Å, 90.00 90.03 90.00°
Space group Cm (No. 8)
Asymmetric unit:
Na1 0.000 0.000 0.000 x2
Pb1 0.156 0.500 0.498 x2
W1 0.221 0.000 0.998 x2
I1 0.369 0.000 0.499 x2

(y)
A plane-wave DFT calculation with PBE-GGA was carried out for NaPbWI after structural relaxation.

Cell: 3.426 3.426 8.255 Å, 90.00 90.00 90.00°
Space group P4mm (No. 99)
Asymmetric unit:
Na1 0.000 0.000 0.000 x1
Pb1 0.500 0.500 0.724 x1
W1 0.000 0.000 0.493 x1
I1 0.500 0.500 0.309 x1

(z)
A plane-wave DFT calculation with PBE-GGA was carried out for NaPbWI after structural relaxation.

Cell: 9.409 3.291 7.910 Å, 90.00 111.03 90.00°
Space group Cm (No. 8)
Asymmetric unit:
Na1 0.000 0.000 0.000 x2
Pb1 0.305 0.500 0.289 x2
W1 0.438 0.000 0.603 x2
I1 0.182 0.000 0.687 x2

Stability ranking, top entry: (x); the second entry is 0.8 kJ/mol of atoms less favorable.